Here is a relaxed structure of LaPrPI from OQMD via LeMat-Bulk. Energies are from GGA-PBE.

Lattice parameters (Å, degrees): 8.1573 8.1573 8.1573 30.47 30.47 30.47
Sites, in units of the cell vectors:
I  0.9993  0.9993  0.9993
La  0.7698  0.7698  0.7698
Pr  0.2300  0.2300  0.2300
P  0.5009  0.5009  0.5009

Calculated values
Crystal system: trigonal
Spin magnetization: 0.00 μB/cell
Symmetry: R3m (160)
Raw total energy: -5.586 eV per atom